# PaOs2

A geometry-optimized PaOs2 structure (PBE, Alexandria).

Unit cell a=6.7595 b=6.7595 c=6.7595 alpha=155.38 beta=155.38 gamma=35.10
With the nearest neighbours (Å) after each atom.
Element x y z (fractional)
Pa  0.0000  0.0000  0.0000  4 Pa 2.88, 8 Os 3.15
Os  0.3136  0.3136  0.0000  8 Os 2.62-2.88
Os  0.6864  0.6864  0.0000  8 Os 2.62-2.88

Output
- formation energy (eV per atom) = 0.066